1.
## BaY2Si2O7F2 (GGA-PBE)

Data for an optimized crystal structure of BaY2Si2O7F2.

Calculated values
- Uncorrected formation energy: -3.3589 eV/atom
- Energy: -7.94 eV/atom
- Magnetization: 0.00 Bohr magnetons per cell
- Calculated density: 4.4 g cm⁻³

a b c (Å): 5.2663 6.9165 11.8235
angles (deg): 93.03 102.23 110.79
Element x y z (fractional)
Ba (0.0983, 0.3862, 0.2491)
Ba (0.9017, 0.6138, 0.7509)
Y (0.1802, 0.2028, 0.6225)
Y (0.3164, 0.1930, 0.9549)
Y (0.6836, 0.8070, 0.0451)
Y (0.8198, 0.7972, 0.3775)
Si (0.2688, 0.9324, 0.2184)
Si (0.3697, 0.7497, 0.5661)
Si (0.6303, 0.2503, 0.4339)
Si (0.7312, 0.0676, 0.7816)
O (0.0230, 0.2677, 0.7877)
O (0.1288, 0.8549, 0.5554)
O (0.1670, 0.0550, 0.1148)
O (0.2885, 0.5518, 0.6393)
O (0.3231, 0.0760, 0.3468)
O (0.4259, 0.7007, 0.4403)
O (0.4612, 0.1284, 0.7851)
O (0.5388, 0.8716, 0.2149)
O (0.5741, 0.2993, 0.5597)
O (0.6769, 0.9240, 0.6532)
O (0.7115, 0.4482, 0.3607)
O (0.8330, 0.9450, 0.8852)
O (0.8712, 0.1451, 0.4446)
O (0.9770, 0.7323, 0.2123)
F (0.2937, 0.8279, 0.9404)
F (0.3410, 0.4787, 0.0677)
F (0.6590, 0.5213, 0.9323)
F (0.7063, 0.1721, 0.0596)

---

2.
## BaSnO2F (GGA-PBE)

Data for an optimized crystal structure of BaSnO2F.

Calculated values
- Uncorrected formation energy: -2.1911 eV/atom
- Energy: -5.73 eV/atom
- Magnetization: 0.00 Bohr magnetons per cell
- Calculated density: 5.9 g cm⁻³

a b c (Å): 4.3732 4.3732 4.5221
angles (deg): 90.00 90.00 90.00
Element x y z (fractional)
Ba (0.0000, 0.0000, 0.0000)
Sn (0.5000, 0.5000, 0.5000)
O (0.0000, 0.5000, 0.5000)
O (0.5000, 0.0000, 0.5000)
F (0.5000, 0.5000, 0.0000)

---

3.
## BaSnOF2 (GGA-PBE)

Data for an optimized crystal structure of BaSnOF2.

Calculated values
- Uncorrected formation energy: -1.7329 eV/atom
- Energy: -4.66 eV/atom
- Magnetization: 0.00 Bohr magnetons per cell
- Energy relative to the lowest polymorph listed for this composition: 0.537 eV/atom
- Calculated density: 4.2 g cm⁻³

a b c (Å): 4.8778 4.8778 5.2003
angles (deg): 90.00 90.00 90.00
Element x y z (fractional)
Ba (0.0000, 0.0000, 0.0000)
Sn (0.5000, 0.5000, 0.5000)
O (0.0000, 0.0000, 0.5000)
F (0.0000, 0.5000, 0.0000)
F (0.5000, 0.0000, 0.0000)